(1)
This record from the Alexandria database describes crystalline BaCaMg2In4 at its relaxed geometry. The functional is PBE.

abc: 5.075 5.075 11.056
angles: 76.73 76.73 60.00
Fractional coordinates of all 8 atoms:
In 0.879 0.879 0.364
In 0.398 0.398 0.805
In 0.121 0.121 0.636
In 0.602 0.602 0.195
Mg 0.234 0.234 0.299
Mg 0.766 0.766 0.701
Ca 0.500 0.500 0.500
Ba 0.000 0.000 0.000

## Properties
The symmetry is R-3m. For the size of the total moment, the calculation gives 0.0 Bohr magnetons per cell. For the total energy, the calculation gives -20.48 eV per cell. The formation energy comes out at -302 meV per atom. Its density of states at the Fermi level is 0.268 states/eV per atom.

(2)
This record from the Alexandria database describes crystalline BaCa2Mg2In2 at its relaxed geometry. The functional is PBE.

abc: 5.155 5.155 10.539
angles: 75.84 75.84 60.00
Fractional coordinates of all 7 atoms:
Ca 0.867 0.867 0.398
Ca 0.133 0.133 0.602
Mg 0.585 0.585 0.244
Mg 0.415 0.415 0.756
Ba 0.000 0.000 0.000
In 0.751 0.751 0.747
In 0.249 0.249 0.253

## Properties
The symmetry is R-3m. For the size of the total moment, the calculation gives 0.0 Bohr magnetons per cell. For the total energy, the calculation gives -16.60 eV per cell. The formation energy comes out at -287 meV per atom. Its density of states at the Fermi level is 0.638 states/eV per atom.

(3)
This record from the Alexandria database describes crystalline Ba2CaMg12In3 at its relaxed geometry. The functional is PBE.

abc: 10.113 10.113 10.113
angles: 51.91 51.91 51.91
Fractional coordinates of all 18 atoms:
Mg 0.544 0.175 0.175
Mg 0.788 0.131 0.788
Mg 0.825 0.825 0.456
Mg 0.456 0.825 0.825
Mg 0.131 0.788 0.788
Mg 0.175 0.175 0.544
Mg 0.212 0.212 0.869
Mg 0.175 0.544 0.175
Mg 0.825 0.456 0.825
Mg 0.212 0.869 0.212
Mg 0.869 0.212 0.212
Mg 0.788 0.788 0.131
In 0.500 0.000 0.000
In 0.000 0.000 0.500
In 0.000 0.500 0.000
Ca 0.000 0.000 0.000
Ba 0.583 0.583 0.583
Ba 0.417 0.417 0.417

## Properties
The symmetry is R-3m. For the size of the total moment, the calculation gives 0.0 Bohr magnetons per cell. For the total energy, the calculation gives -29.79 eV per cell. The formation energy comes out at 189 meV per atom. Its density of states at the Fermi level is 0.528 states/eV per atom.

- Which formula does entry 2 have?
  BaCa2Mg2In2

Please write out number 1 again, unchanged.
This record from the Alexandria database describes crystalline BaCaMg2In4 at its relaxed geometry. The functional is PBE.

abc: 5.075 5.075 11.056
angles: 76.73 76.73 60.00
Fractional coordinates of all 8 atoms:
In 0.879 0.879 0.364
In 0.398 0.398 0.805
In 0.121 0.121 0.636
In 0.602 0.602 0.195
Mg 0.234 0.234 0.299
Mg 0.766 0.766 0.701
Ca 0.500 0.500 0.500
Ba 0.000 0.000 0.000

## Properties
The symmetry is R-3m. For the size of the total moment, the calculation gives 0.0 Bohr magnetons per cell. For the total energy, the calculation gives -20.48 eV per cell. The formation energy comes out at -302 meV per atom. Its density of states at the Fermi level is 0.268 states/eV per atom.

- Look up the formation energy of the third one.
  189 meV per atom

- Which value of size of the total moment does entry 2 give?
  0.0 Bohr magnetons per cell